DFT (PBE) results for Tm2Rh3Pb2 after structural relaxation.

Output
space-group type	R-3m, No. 166
crystal system	trigonal
E	-5.944	eV/atom
mass density	11.8	g cm⁻³

POSCAR file:
```
Tm2Rh3Pb2
1.0
-1.373 4.304 1.568
-2.899 -2.556 -2.807
-1.196 -5.220 5.989
Tm Rh Pb
2 3 2
Cartesian
-1.145 -1.190 2.268
-4.323 -2.282 2.483
0.000 0.000 0.000
-2.327 -2.424 4.611
-3.141 -1.048 0.139
-2.349 1.534 1.034
-3.119 -5.006 3.717
```

DFT (PBE) results for La2MgZn after structural relaxation.

Output
space-group type	Pm, No. 6
crystal system	monoclinic
E	-3.319	eV/atom
excess energy over the best structure of this formula in the dataset	78	meV/atom
mass density	5.4	g cm⁻³

POSCAR file:
```
La2MgZn
1.0
4.949 0.000 0.000
0.000 3.555 0.014
0.000 1.731 6.467
Zn Mg La
1 1 2
Cartesian
2.475 3.297 4.859
0.000 3.309 3.279
0.000 5.069 6.130
2.475 1.539 1.935
```

DFT (PBE) results for SrSc3 after structural relaxation.

Output
space-group type	Cmcm, No. 63
crystal system	orthorhombic
E	-4.883	eV/atom
mass density	3.0	g cm⁻³

POSCAR file:
```
SrSc3
1.0
-3.534 3.026 -5.241
2.912 -6.060 -1.980
-4.437 -2.616 1.482
Sr Sc
2 6
Cartesian
-4.537 -2.213 -2.954
-0.522 -3.437 -2.786
-1.435 -6.586 -1.384
-3.625 0.936 -4.355
-3.243 -5.218 -4.384
-1.817 -0.432 -1.356
-2.193 -2.263 -5.716
-2.867 -3.386 -0.024
```

DFT (PBE) results for Na2TmTlCl6 after structural relaxation.

Output
space-group type	R3, No. 146
crystal system	trigonal
E	-3.907	eV/atom
formation energy without anion corrections	-1.85	eV/atom
mass density	3.6	g cm⁻³

POSCAR file:
```
Na2TmTlCl6
1.0
-1.735 5.938 -3.678
-5.561 4.051 2.116
1.588 6.861 3.283
Na Tm Tl Cl
2 1 1 6
Cartesian
-3.110 8.198 0.617
1.522 6.806 3.221
-2.338 3.412 -0.431
-4.951 12.048 0.658
-2.025 5.982 -0.815
-5.346 6.908 1.835
-4.456 9.518 -1.526
-3.378 10.310 2.690
-0.887 10.131 0.225
-1.075 7.663 2.713
```

DFT (PBE) results for TmPuMnRu after structural relaxation.

Output
space-group type	F-43m, No. 216
crystal system	cubic
E	-9.444	eV/atom
mass density	12.2	g cm⁻³

POSCAR file:
```
TmPuMnRu
1.0
4.783 0.000 0.000
2.391 4.142 0.000
2.391 1.381 3.905
Ru Tm Mn Pu
1 1 1 1
Cartesian
4.783 2.761 1.952
7.174 4.142 2.929
0.000 0.000 0.000
2.391 1.381 0.976
```

DFT (PBE) results for UGePdAu after structural relaxation.

Output
space-group type	F-43m, No. 216
crystal system	cubic
E	-6.254	eV/atom
mass density	13.1	g cm⁻³

POSCAR file:
```
UGePdAu
1.0
-3.833 2.511 -1.408
-3.321 1.301 3.202
-0.443 4.604 1.257
Au Ge U Pd
1 1 1 1
Cartesian
-3.799 4.208 1.526
-1.899 2.104 0.763
0.000 0.000 0.000
-5.698 6.312 2.289
```

DFT (PBE) results for LaPrYEr3 after structural relaxation.

Output
space-group type	Cmcm, No. 63
crystal system	orthorhombic
E	-4.872	eV/atom
mass density	7.3	g cm⁻³

POSCAR file:
```
LaPrYEr3
1.0
5.875 0.000 0.000
-2.938 5.762 0.000
0.000 0.000 11.756
La Pr Y Er
2 2 2 6
Cartesian
2.938 0.052 8.817
0.000 5.710 2.939
0.000 0.000 5.878
0.000 0.000 0.000
2.938 3.750 8.817
0.000 2.012 2.939
2.938 2.020 5.833
0.000 3.742 5.923
0.000 3.742 11.711
2.938 2.020 0.045
0.000 1.973 8.817
2.938 3.789 2.939
```

DFT (PBE) results for Pm4Te6I after structural relaxation.

Output
space-group type	P-6m2, No. 187
crystal system	hexagonal
E	-4.832	eV/atom
formation energy without anion corrections	-1.25	eV/atom
mass density	6.9	g cm⁻³

POSCAR file:
```
Pm4Te6I
1.0
-2.799 2.812 1.794
-7.448 -5.407 -3.144
3.896 -1.704 8.748
Pm Te I
4 6 1
Cartesian
-5.013 -4.130 3.936
-3.366 -0.832 1.337
-6.820 -3.339 -0.121
0.114 -2.939 4.784
-3.711 -3.045 -1.017
-2.815 -3.274 6.023
-2.215 -3.699 2.342
-5.075 -5.775 1.135
0.292 -1.018 7.335
-1.333 -0.307 3.685
0.000 0.000 0.000
```

DFT (PBE) results for CrReAu2 after structural relaxation.

Output
space-group type	C2/m, No. 12
crystal system	monoclinic
E	-6.679	eV/atom
excess energy over the best structure of this formula in the dataset	209	meV/atom
mass density	16.3	g cm⁻³

POSCAR file:
```
CrReAu2
1.0
-3.977 -1.460 2.620
-4.308 -2.500 -0.028
1.544 -4.273 1.484
Au Cr Re
2 1 1
Cartesian
-8.264 -3.958 2.589
-3.392 -4.119 2.042
-5.056 -6.175 3.057
-1.685 -2.058 1.019
```

DFT (PBE) results for Ce2PbBr after structural relaxation.

Output
space-group type	P4/mmm, No. 123
crystal system	tetragonal
E	-4.987	eV/atom
formation energy without anion corrections	-0.67	eV/atom
excess energy over the best structure of this formula in the dataset	87	meV/atom
mass density	8.4	g cm⁻³

POSCAR file:
```
Ce2PbBr
1.0
3.700 0.000 0.000
0.000 3.700 0.000
0.000 0.000 8.213
Pb Br Ce
1 1 2
Cartesian
1.850 1.850 4.106
1.850 1.850 0.000
0.000 0.000 6.207
0.000 0.000 2.006
```

DFT (PBE) results for Y3Be after structural relaxation.

Output
space-group type	Fm-3m, No. 225
crystal system	cubic
E	-5.416	eV/atom
excess energy over the best structure of this formula in the dataset	300	meV/atom
mass density	4.4	g cm⁻³

POSCAR file:
```
Y3Be
1.0
5.278 0.000 0.000
2.639 4.570 0.000
2.639 1.523 4.309
Y Be
3 1
Cartesian
2.639 1.523 1.077
5.278 3.047 2.155
7.916 4.570 3.232
0.000 0.000 0.000
```